Entry 1:
Th2MgZn: relaxed, PBE-GGA.

a = 5.313 Å, b = 5.313 Å, c = 5.313 Å
α = 60.00°, β = 60.00°, γ = 60.00°
Fractional coordinates of all 4 atoms:
1 Zn 0.000 0.000 0.000
2 Th 0.750 0.750 0.750
3 Mg 0.500 0.500 0.500
4 Th 0.250 0.250 0.250

## Properties
DOS(E_F)	2.318	states/eV per cell
energy above the lowest structure with this stoichiometry	0.13	eV per formula unit

Entry 2:
Th2MgZn9: relaxed, PBE-GGA.

a = 5.492 Å, b = 5.492 Å, c = 9.284 Å
α = 72.80°, β = 72.80°, γ = 60.00°
Fractional coordinates of all 12 atoms:
1 Zn 0.417 0.417 0.242
2 Zn 0.076 0.583 0.758
3 Zn 0.583 0.583 0.758
4 Zn 0.583 0.076 0.758
5 Zn 0.924 0.417 0.242
6 Zn 0.665 0.665 0.005
7 Th 0.856 0.856 0.433
8 Zn 0.500 0.500 0.500
9 Mg 0.000 0.000 0.000
10 Th 0.144 0.144 0.567
11 Zn 0.417 0.924 0.242
12 Zn 0.335 0.335 0.995

## Properties
DOS(E_F)	7.602	states/eV per cell

Taking the records one at a time from the top gives final energy values of -17.7 -29.1 eV per cell.
Taking the records one at a time from the top gives DFT formation energy values of 0.005 -0.099 eV per atom.
Taking the records one at a time from the top gives mass density values of 8.670 7.846 g/cm³.